Entry from OQMD via LeMat-Bulk: an optimized crystal structure of NaTlReTc (PBE-GGA).

Excess energy over the best structure of this formula in the dataset: 0.000 eV per atom

a = 6.4782 Å, b = 6.4782 Å, c = 6.4782 Å
α = 90.00°, β = 90.00°, γ = 90.00°
Space group F-43m (No. 216)
Symmetry-distinct sites (fractional):
Na 0.0000 0.0000 0.0000 (multiplicity 4)
Tl 0.2500 0.2500 0.2500 (multiplicity 4)
Re 0.2500 0.2500 0.7500 (multiplicity 4)
Tc 0.0000 0.0000 0.5000 (multiplicity 4)


Entry from OQMD via LeMat-Bulk: an optimized crystal structure of NbInNO (PBE-GGA).

Excess energy over the best structure of this formula in the dataset: 0.145 eV per atom

a = 4.1729 Å, b = 4.1729 Å, c = 8.5851 Å
α = 90.00°, β = 90.00°, γ = 90.00°
Space group P4/nmm (No. 129, origin choice 2)
Symmetry-distinct sites (fractional):
Nb 0.2500 0.2500 0.0628 (multiplicity 2)
In 0.2500 0.7500 0.5000 (multiplicity 2)
N 0.2500 0.2500 0.2671 (multiplicity 2)
O 0.2500 0.7500 0.0000 (multiplicity 2)


Entry from OQMD via LeMat-Bulk: an optimized crystal structure of DyPPtO (PBE-GGA).

Excess energy over the best structure of this formula in the dataset: 0.463 eV per atom

a = 3.5302 Å, b = 7.5504 Å, c = 5.5113 Å
α = 90.00°, β = 90.00°, γ = 90.00°
Space group Pmc2_1 (No. 26)
Symmetry-distinct sites (fractional):
Dy 0.0000 0.2133 0.0000 (multiplicity 2)
P 0.0000 0.4154 0.4956 (multiplicity 2)
Pt 0.5000 0.2271 0.5124 (multiplicity 2)
O 0.5000 0.0658 0.0508 (multiplicity 2)


Entry from OQMD via LeMat-Bulk: an optimized crystal structure of TaTc2As (PBE-GGA).

Total DFT energy (no corrections): -9.105 eV/atom

a = 6.3005 Å, b = 6.3005 Å, c = 6.3005 Å
α = 90.00°, β = 90.00°, γ = 90.00°
Space group F-43m (No. 216)
Symmetry-distinct sites (fractional):
Ta 0.0000 0.0000 0.0000 (multiplicity 4)
Tc 0.0000 0.0000 0.5000 (multiplicity 4)
Tc 0.2500 0.2500 0.2500 (multiplicity 4)
As 0.2500 0.2500 0.7500 (multiplicity 4)